# AgBiSe2Br

A geometry-optimized AgBiSe2Br structure (PBEsol, Alexandria).

Cell lengths 5.424, 5.424, 5.564 Å; angles 90.00, 90.00, 90.00 degrees
Atoms (fractional coordinates):
Ag1 0.000 0.000 0.000
Bi1 0.500 0.500 0.500
Se1 0.000 0.500 0.500
Se2 0.500 0.000 0.500
Br1 0.500 0.500 0.000

## Properties
Its density is 5.63 Mg/m³. The calculated total energy comes out at -3.019 eV/atom.

---

# TlAgBiBr2

A geometry-optimized TlAgBiBr2 structure (PBEsol, Alexandria).

Cell lengths 5.553, 5.553, 6.293 Å; angles 90.00, 90.00, 90.00 degrees
Atoms (fractional coordinates):
Tl1 0.000 0.000 0.000
Ag1 0.500 0.500 0.000
Bi1 0.000 0.000 0.500
Br1 0.000 0.500 0.500
Br2 0.500 0.000 0.500

## Properties
Its density is 5.83 Mg/m³. The calculated total energy comes out at -2.545 eV/atom.

---

# La2AgBiC

A geometry-optimized La2AgBiC structure (PBEsol, Alexandria).

Cell lengths 5.277, 5.277, 4.296 Å; angles 90.00, 90.00, 90.00 degrees
Atoms (fractional coordinates):
La1 0.000 0.500 0.000
La2 0.500 0.000 0.000
Ag1 0.000 0.000 0.500
Bi1 0.500 0.500 0.500
C1 0.000 0.000 0.000

## Properties
Its density is 8.42 Mg/m³. The calculated total energy comes out at -5.953 eV/atom. The formation energy is -0.366 eV/atom.

---

# AgBi2CN

A geometry-optimized AgBi2CN structure (PBEsol, Alexandria).

Cell lengths 5.461, 5.461, 3.706 Å; angles 90.00, 90.00, 90.00 degrees
Atoms (fractional coordinates):
Ag1 0.000 0.000 0.000
Bi1 0.000 0.500 0.000
Bi2 0.500 0.000 0.000
C1 0.500 0.500 0.500
N1 0.000 0.000 0.500

## Properties
Its density is 8.29 Mg/m³. The calculated total energy comes out at -3.908 eV/atom.

---

# AgBi2SbC

A geometry-optimized AgBi2SbC structure (PBEsol, Alexandria).

Cell lengths 5.199, 5.199, 4.137 Å; angles 90.00, 90.00, 90.00 degrees
Atoms (fractional coordinates):
Ag1 0.000 0.000 0.000
Bi1 0.000 0.500 0.500
Bi2 0.500 0.000 0.500
Sb1 0.500 0.500 0.000
C1 0.000 0.000 0.500

## Properties
Its density is 9.80 Mg/m³. The calculated total energy comes out at -4.467 eV/atom.

---

# CaAgBi

A geometry-optimized CaAgBi structure (PBEsol, Alexandria).

Cell lengths 4.803, 4.803, 7.682 Å; angles 90.00, 90.00, 120.00 degrees
Atoms (fractional coordinates):
Ca1 0.000 0.000 0.000
Ca2 0.000 0.000 0.500
Ag1 0.333 0.667 0.183
Ag2 0.667 0.333 0.683
Bi1 0.333 0.667 0.783
Bi2 0.667 0.333 0.283

## Properties
Its density is 7.72 Mg/m³. The calculated total energy comes out at -3.830 eV/atom. The formation energy is -0.586 eV/atom.

---

# Ca2Ag2Bi

A geometry-optimized Ca2Ag2Bi structure (PBEsol, Alexandria).

Cell lengths 8.115, 8.115, 3.776 Å; angles 90.00, 90.00, 90.00 degrees
Atoms (fractional coordinates):
Ca1 0.176 0.324 0.000
Ca2 0.324 0.824 0.000
Ca3 0.676 0.176 0.000
Ca4 0.824 0.676 0.000
Ag1 0.118 0.618 0.500
Ag2 0.382 0.118 0.500
Ag3 0.618 0.882 0.500
Ag4 0.882 0.382 0.500
Bi1 0.000 0.000 0.500
Bi2 0.500 0.500 0.500

## Properties
Its excess energy over the best structure of this formula in the dataset is 0.0 kJ per mole of atoms. Its density is 6.74 Mg/m³. The calculated total energy comes out at -3.460 eV/atom. The formation energy is -0.426 eV/atom.

---

# Ca2Ag2Bi

A geometry-optimized Ca2Ag2Bi structure (PBEsol, Alexandria).

Cell lengths 5.706, 5.706, 8.527 Å; angles 90.00, 90.00, 90.00 degrees
Atoms (fractional coordinates):
Ca1 0.000 0.500 0.250
Ca2 0.000 0.500 0.750
Ca3 0.500 0.000 0.250
Ca4 0.500 0.000 0.750
Ag1 0.000 0.000 0.150
Ag2 0.000 0.000 0.850
Ag3 0.500 0.500 0.350
Ag4 0.500 0.500 0.650
Bi1 0.000 0.000 0.500
Bi2 0.500 0.500 0.000

## Properties
Its excess energy over the best structure of this formula in the dataset is 17.4 kJ per mole of atoms. Its density is 6.04 Mg/m³. The calculated total energy comes out at -3.280 eV/atom. The formation energy is -0.245 eV/atom.

---

# CaAgBi

A geometry-optimized CaAgBi structure (PBEsol, Alexandria).

Cell lengths 4.804, 4.804, 7.850 Å; angles 90.00, 90.00, 120.00 degrees
Atoms (fractional coordinates):
Ca1 0.000 0.000 0.000
Ca2 0.000 0.000 0.500
Ag1 0.333 0.667 0.250
Ag2 0.667 0.333 0.750
Bi1 0.333 0.667 0.750
Bi2 0.667 0.333 0.250

## Properties
Its density is 7.56 Mg/m³. The calculated total energy comes out at -3.780 eV/atom. The formation energy is -0.537 eV/atom.

---

# CaCrAg2Bi

A geometry-optimized CaCrAg2Bi structure (PBEsol, Alexandria).

Cell lengths 4.932, 4.932, 5.295 Å; angles 90.00, 90.00, 90.00 degrees
Atoms (fractional coordinates):
Ca1 0.000 0.000 0.000
Cr1 0.000 0.000 0.500
Ag1 0.000 0.500 0.500
Ag2 0.500 0.000 0.500
Bi1 0.500 0.500 0.000

## Properties
Its density is 6.66 Mg/m³. The calculated total energy comes out at -3.940 eV/atom. The formation energy is 0.716 eV/atom.

---

# KCaAg2Bi

A geometry-optimized KCaAg2Bi structure (PBEsol, Alexandria).

Cell lengths 5.562, 5.562, 5.878 Å; angles 90.00, 90.00, 90.00 degrees
Atoms (fractional coordinates):
K1 0.000 0.000 0.000
Ca1 0.500 0.500 0.000
Ag1 0.000 0.500 0.500
Ag2 0.500 0.000 0.500
Bi1 0.500 0.500 0.500

## Properties
Its density is 4.60 Mg/m³. The calculated total energy comes out at -2.641 eV/atom. The formation energy is 0.194 eV/atom.

---

# CaAgBiRu2

A geometry-optimized CaAgBiRu2 structure (PBEsol, Alexandria).

Cell lengths 4.914, 4.914, 5.186 Å; angles 90.00, 90.00, 90.00 degrees
Atoms (fractional coordinates):
Ca1 0.000 0.000 0.000
Ag1 0.500 0.500 0.500
Bi1 0.500 0.500 0.000
Ru1 0.000 0.500 0.500
Ru2 0.500 0.000 0.500

## Properties
Its density is 7.41 Mg/m³. The calculated total energy comes out at -4.632 eV/atom. The formation energy is 1.383 eV/atom.